VASP calculation (GGA-PBE) on a relaxed structure of LuCoTcSn.

Geometry as POSCAR:
```
LuCoTcSn
1.0
0.000 3.305 3.305
3.305 0.000 3.305
3.305 3.305 0.000
Lu Tc Co Sn
1 1 1 1
Cartesian
1.653 1.653 1.653
3.305 3.305 3.305
4.958 4.958 4.958
0.000 0.000 0.000
```

Values from the calculation:
Symmetry: F-43m
Raw total energy: -25.01 eV/f.u.
E above lowest polymorph: 0.3711 eV per atom